Arrangement a

Entry from Alexandria via LeMat-Bulk: an optimized crystal structure of ZrCdReC2 (PBE-GGA).

Lattice parameters (Å, degrees): 4.089 4.089 5.488 90.00 90.00 90.00
Space group P4/mmm (No. 123)
One atom of each set of equivalent atoms:
Zr: 0.000 0.000 0.000 (multiplicity 1)
Cd: 0.000 0.000 0.500 (multiplicity 1)
Re: 0.500 0.500 0.000 (multiplicity 1)
C: 0.000 0.500 0.500 (multiplicity 2)

Density = 7.49 g/cm3


Arrangement b

Entry from Alexandria via LeMat-Bulk: an optimized crystal structure of ZrCdReC2 (PBE-GGA).

Lattice parameters (Å, degrees): 4.282 4.282 5.255 90.00 90.00 90.00
Space group P4/mmm (No. 123)
One atom of each set of equivalent atoms:
Zr: 0.000 0.000 0.000 (multiplicity 1)
Cd: 0.500 0.500 0.500 (multiplicity 1)
Re: 0.000 0.000 0.500 (multiplicity 1)
C: 0.000 0.500 0.000 (multiplicity 2)

Density = 7.13 g/cm3


Referenced to the most stable arrangement, the calculated values in kJ/mol of atoms are arrangement a 69.0; arrangement b 0.0.


Arrangement a

Entry from Alexandria via LeMat-Bulk: an optimized crystal structure of Cd3RhC (PBE-GGA).

Lattice parameters (Å, degrees): 4.475 4.475 4.475 90.00 90.00 90.00
Space group Pm-3m (No. 221)
One atom of each set of equivalent atoms:
Cd: 0.000 0.000 0.500 (multiplicity 3)
Rh: 0.500 0.500 0.500 (multiplicity 1)
C: 0.000 0.000 0.000 (multiplicity 1)

Density = 8.38 g/cm3


Arrangement b

Entry from Alexandria via LeMat-Bulk: an optimized crystal structure of Cd3RhC (PBE-GGA).

Lattice parameters (Å, degrees): 5.167 5.167 5.167 90.00 90.00 90.00
Space group Pm-3m (No. 221)
One atom of each set of equivalent atoms:
Cd: 0.000 0.000 0.500 (multiplicity 3)
Rh: 0.000 0.000 0.000 (multiplicity 1)
C: 0.500 0.500 0.500 (multiplicity 1)

Density = 5.44 g/cm3


Referenced to the most stable arrangement, the calculated values in kJ/mol of atoms are arrangement a 0.0; arrangement b 63.4.


Arrangement a

Entry from Alexandria via LeMat-Bulk: an optimized crystal structure of CdRu2C (PBE-GGA).

Lattice parameters (Å, degrees): 6.024 6.024 6.024 90.00 90.00 90.00
Space group Fm-3m (No. 225)
One atom of each set of equivalent atoms:
Cd: 0.000 0.000 0.000 (multiplicity 4)
Ru: 0.250 0.250 0.250 (multiplicity 8)
C: 0.000 0.000 0.500 (multiplicity 4)

Density = 9.92 g/cm3


Arrangement b

Entry from Alexandria via LeMat-Bulk: an optimized crystal structure of CdRu2C (PBE-GGA).

Lattice parameters (Å, degrees): 6.499 6.499 5.385 90.00 90.00 90.00
Space group I-42d (No. 122)
One atom of each set of equivalent atoms:
Cd: 0.000 0.000 0.000 (multiplicity 4)
Ru: 0.147 0.250 0.625 (multiplicity 8)
C: 0.000 0.000 0.500 (multiplicity 4)

Density = 9.54 g/cm3


Referenced to the most stable arrangement, the calculated values in kJ/mol of atoms are arrangement a 102.5; arrangement b 0.0.


Arrangement a

Entry from Alexandria via LeMat-Bulk: an optimized crystal structure of CdCS3 (PBE-GGA).

Lattice parameters (Å, degrees): 5.058 5.058 5.058 90.00 90.00 90.00
Space group Pm-3m (No. 221)
One atom of each set of equivalent atoms:
Cd: 0.000 0.000 0.000 (multiplicity 1)
C: 0.500 0.500 0.500 (multiplicity 1)
S: 0.000 0.000 0.500 (multiplicity 3)

Density = 2.83 g/cm3


Arrangement b

Entry from Alexandria via LeMat-Bulk: an optimized crystal structure of CdCS3 (PBE-GGA).

Lattice parameters (Å, degrees): 4.249 4.249 4.249 90.00 90.00 90.00
Space group Pm-3m (No. 221)
One atom of each set of equivalent atoms:
Cd: 0.000 0.000 0.000 (multiplicity 1)
C: 0.500 0.500 0.500 (multiplicity 1)
S: 0.000 0.500 0.500 (multiplicity 3)

Density = 4.77 g/cm3


Referenced to the most stable arrangement, the calculated values in kJ/mol of atoms are arrangement a 107.8; arrangement b 0.0.


Arrangement a

Entry from Alexandria via LeMat-Bulk: an optimized crystal structure of CdSb2C (PBE-GGA).

Lattice parameters (Å, degrees): 6.160 6.160 10.276 90.00 90.00 90.00
Space group I-42d (No. 122)
One atom of each set of equivalent atoms:
Cd: 0.000 0.000 0.000 (multiplicity 4)
Sb: 0.172 0.250 0.625 (multiplicity 8)
C: 0.000 0.000 0.500 (multiplicity 4)

Density = 6.27 g/cm3


Arrangement b

Entry from Alexandria via LeMat-Bulk: an optimized crystal structure of CdSb2C (PBE-GGA).

Lattice parameters (Å, degrees): 6.973 6.973 6.973 90.00 90.00 90.00
Space group Fm-3m (No. 225)
One atom of each set of equivalent atoms:
Cd: 0.000 0.000 0.000 (multiplicity 4)
Sb: 0.250 0.250 0.250 (multiplicity 8)
C: 0.000 0.000 0.500 (multiplicity 4)

Density = 7.21 g/cm3


Referenced to the most stable arrangement, the calculated values in kJ/mol of atoms are arrangement a 0.0; arrangement b 71.9.


Arrangement a

Entry from Alexandria via LeMat-Bulk: an optimized crystal structure of CdSbC3 (PBE-GGA).

Lattice parameters (Å, degrees): 4.331 4.331 4.331 90.00 90.00 90.00
Space group Pm-3m (No. 221)
One atom of each set of equivalent atoms:
Cd: 0.000 0.000 0.000 (multiplicity 1)
Sb: 0.500 0.500 0.500 (multiplicity 1)
C: 0.000 0.000 0.500 (multiplicity 3)

Density = 5.52 g/cm3


Arrangement b

Entry from Alexandria via LeMat-Bulk: an optimized crystal structure of CdSbC3 (PBE-GGA).

Lattice parameters (Å, degrees): 4.293 4.293 4.293 90.00 90.00 90.00
Space group Pm-3m (No. 221)
One atom of each set of equivalent atoms:
Cd: 0.000 0.000 0.000 (multiplicity 1)
Sb: 0.500 0.500 0.500 (multiplicity 1)
C: 0.000 0.500 0.500 (multiplicity 3)

Density = 5.67 g/cm3


Referenced to the most stable arrangement, the calculated values in kJ/mol of atoms are arrangement a 40.8; arrangement b 0.0.